1.
Below is a geometry-optimized InHSe2 structure, with properties calculated at the PBE level.

Values from the calculation:
Spin magnetization: 0.000 μB per formula unit
Polymorph energy (0 for the lowest one): 35 meV per atom
Symmetry: C2/c, No. 15

Geometry as POSCAR:
```
InHSe2
1.0
12.917 0.000 -1.397
2.230 6.019 -5.702
-2.230 6.019 5.702
H Se In
8 16 8
direct
0.455 0.521 0.108
0.045 0.608 0.021
0.545 0.479 0.892
0.955 0.392 0.979
0.453 0.990 0.112
0.047 0.612 0.490
0.547 0.010 0.888
0.953 0.388 0.510
0.995 0.797 0.484
0.505 0.984 0.297
0.005 0.203 0.516
0.495 0.016 0.703
0.725 0.141 0.089
0.775 0.589 0.641
0.275 0.859 0.911
0.225 0.411 0.359
0.504 0.497 0.293
0.996 0.793 0.997
0.496 0.503 0.707
0.004 0.207 0.003
0.750 0.139 0.639
0.250 0.861 0.361
0.750 0.607 0.107
0.250 0.393 0.893
0.143 0.174 0.328
0.357 0.828 0.674
0.857 0.826 0.672
0.643 0.172 0.326
0.345 0.334 0.669
0.155 0.169 0.834
0.655 0.666 0.331
0.845 0.831 0.166
```


2.
Below is a geometry-optimized In2HSe structure, with properties calculated at the PBE level.

Values from the calculation:
Spin magnetization: 0.000 μB per formula unit
Polymorph energy (0 for the lowest one): 178 meV per atom
Symmetry: Fm-3m, No. 225

Geometry as POSCAR:
```
In2HSe
1.0
0.477 3.183 3.766
-3.638 0.460 3.330
0.635 -1.695 4.611
H Se In
1 1 2
direct
0.000 0.000 0.000
0.500 0.500 0.500
0.250 0.250 0.250
0.750 0.750 0.750
```


3.
Below is a geometry-optimized InHSe2 structure, with properties calculated at the PBE level.

Values from the calculation:
Spin magnetization: 0.000 μB per formula unit
Polymorph energy (0 for the lowest one): 18 meV per atom
Symmetry: P2_1, No. 4

Geometry as POSCAR:
```
InHSe2
1.0
4.224 -0.001 0.004
0.005 7.160 -0.102
-4.229 0.250 6.691
H Se In
2 4 2
direct
0.469 0.987 0.511
0.207 0.037 0.750
0.578 0.555 0.882
0.109 0.005 0.904
0.575 0.470 0.379
0.063 0.019 0.358
0.956 0.676 0.260
0.198 0.349 0.001
```


The highest polymorph energy (0 for the lowest one) belongs to which entry?
In2HSe